1.
Na6Hg3Pb | Alexandria | PBE-GGA | relaxed; E_form = -0.140 eV/atom; total magnetic moment = 0.00 μB/f.u.; ΔE to the lowest computed polymorph = 4.8 kJ/mol of atoms
1.0
5.302 -9.043 0.000
5.302 9.043 0.000
0.000 0.000 6.144
Na Hg Pb
12 6 2
Direct
0.055 0.447 0.826 Na
0.065 0.935 0.500 Na
0.299 0.701 0.488 Na
0.311 0.364 0.669 Na
0.364 0.311 0.169 Na
0.447 0.055 0.326 Na
0.553 0.945 0.826 Na
0.636 0.689 0.669 Na
0.689 0.636 0.169 Na
0.701 0.299 0.988 Na
0.935 0.065 0.000 Na
0.945 0.553 0.326 Na
0.113 0.370 0.293 Hg
0.370 0.113 0.793 Hg
0.380 0.620 0.015 Hg
0.620 0.380 0.515 Hg
0.630 0.887 0.293 Hg
0.887 0.630 0.793 Hg
0.190 0.810 0.004 Pb
0.810 0.190 0.504 Pb

2.
ReOsRh | Alexandria | PBE-GGA | relaxed; E_form = 0.390 eV/atom; total magnetic moment = 0.00 μB/f.u.; ΔE to the lowest computed polymorph = 38.6 kJ/mol of atoms
1.0
-1.634 1.634 4.165
1.634 -1.634 4.165
1.634 1.634 -4.165
Re Os Rh
1 1 1
Direct
0.000 0.000 0.000 Re
0.658 0.658 0.000 Os
0.331 0.331 0.000 Rh

3.
Ta2FeRu | Alexandria | PBE-GGA | relaxed; E_form = -0.154 eV/atom; total magnetic moment = 2.52 μB/f.u.
1.0
3.169 0.000 0.000
0.000 3.169 0.000
0.000 0.000 6.224
Ta Fe Ru
2 1 1
Direct
0.000 0.000 0.000 Ta
0.500 0.500 0.291 Ta
0.000 0.000 0.518 Fe
0.500 0.500 0.761 Ru

4.
LaSc2F2 | Alexandria | PBE-GGA | relaxed; total magnetic moment = 0.00 μB/f.u.; uncorrected formation energy = -1.193 eV per atom; ΔE to the lowest computed polymorph = 69.5 kJ/mol of atoms
1.0
8.771 0.000 0.000
0.000 8.771 0.000
0.000 0.000 2.858
La Sc F
2 4 4
Direct
0.000 0.000 0.000 La
0.500 0.500 0.000 La
0.121 0.379 0.000 Sc
0.379 0.879 0.000 Sc
0.621 0.121 0.000 Sc
0.879 0.621 0.000 Sc
0.092 0.592 0.500 F
0.408 0.092 0.500 F
0.592 0.908 0.500 F
0.908 0.408 0.500 F

5.
LaMg2 | Alexandria | PBE-GGA | relaxed; E_form = -0.127 eV/atom; total magnetic moment = 0.00 μB/f.u.
1.0
6.213 0.000 0.000
-3.106 5.380 0.000
0.000 0.000 20.246
La Mg
8 16
Direct
0.000 0.000 0.093 La
0.000 0.000 0.407 La
0.000 0.000 0.593 La
0.000 0.000 0.907 La
0.333 0.667 0.156 La
0.333 0.667 0.344 La
0.667 0.333 0.656 La
0.667 0.333 0.844 La
0.000 0.500 0.000 Mg
0.000 0.500 0.500 Mg
0.164 0.328 0.750 Mg
0.164 0.836 0.750 Mg
0.328 0.164 0.250 Mg
0.333 0.667 0.626 Mg
0.333 0.667 0.874 Mg
0.500 0.000 0.000 Mg
0.500 0.000 0.500 Mg
0.500 0.500 0.000 Mg
0.500 0.500 0.500 Mg
0.667 0.333 0.126 Mg
0.667 0.333 0.374 Mg
0.672 0.836 0.750 Mg
0.836 0.164 0.250 Mg
0.836 0.672 0.250 Mg

6.
NaDyAsAu | Alexandria | PBE-GGA | relaxed; E_form = -0.744 eV/atom; total magnetic moment = 0.00 μB/f.u.
1.0
0.000 3.535 3.535
3.535 0.000 3.535
3.535 3.535 0.000
Na Dy As Au
1 1 1 1
Direct
0.000 0.000 0.000 Na
0.500 0.500 0.500 Dy
0.250 0.250 0.250 As
0.750 0.750 0.750 Au

7.
AcYIr | Alexandria | PBE-GGA | relaxed; E_form = -0.507 eV/atom; total magnetic moment = 0.00 μB/f.u.; ΔE to the lowest computed polymorph = 7.2 kJ/mol of atoms
1.0
0.000 3.556 3.556
3.556 0.000 3.556
3.556 3.556 0.000
Ac Y Ir
1 1 1
Direct
0.000 0.000 0.000 Ac
0.500 0.500 0.500 Y
0.750 0.750 0.750 Ir

8.
Na2Pu3F8 | Alexandria | PBE-GGA | relaxed; total magnetic moment = 5.89 μB/f.u.; uncorrected formation energy = -2.931 eV per atom
1.0
7.032 0.000 0.000
0.000 3.443 0.000
-2.378 0.000 8.904
Na Pu F
2 3 8
Direct
0.179 0.000 0.216 Na
0.821 0.000 0.784 Na
0.222 0.500 0.641 Pu
0.500 0.000 0.000 Pu
0.778 0.500 0.359 Pu
0.140 0.500 0.378 F
0.160 0.000 0.813 F
0.288 0.500 0.079 F
0.472 0.000 0.702 F
0.528 0.000 0.298 F
0.712 0.500 0.921 F
0.840 0.000 0.187 F
0.860 0.500 0.622 F

9.
AgTe2SN | Alexandria | PBE-GGA | relaxed; total magnetic moment = 1.45 μB/f.u.; uncorrected formation energy = 1.308 eV per atom; ΔE to the lowest computed polymorph = 52.3 kJ/mol of atoms
1.0
5.538 0.000 0.000
0.000 5.538 0.000
0.000 0.000 3.919
Ag Te S N
1 2 1 1
Direct
0.000 0.000 0.000 Ag
0.000 0.500 0.000 Te
0.500 0.000 0.000 Te
0.500 0.500 0.500 S
0.000 0.000 0.500 N

10.
LiLaMgOs | Alexandria | PBE-GGA | relaxed; E_form = 0.068 eV/atom; total magnetic moment = 0.00 μB/f.u.
1.0
0.000 3.437 3.437
3.437 0.000 3.437
3.437 3.437 0.000
Li La Mg Os
1 1 1 1
Direct
0.000 0.000 0.000 Li
0.750 0.750 0.750 La
0.250 0.250 0.250 Mg
0.500 0.500 0.500 Os

11.
La2NdCd8 | Alexandria | PBE-GGA | relaxed; E_form = -0.290 eV/atom; total magnetic moment = 0.00 μB/f.u.
1.0
4.284 -8.087 0.000
4.284 8.087 0.000
-3.416 0.000 4.207
La Nd Cd
2 1 8
Direct
0.192 0.808 0.000 La
0.808 0.192 0.000 La
0.500 0.500 0.500 Nd
0.002 0.002 0.753 Cd
0.152 0.399 0.774 Cd
0.301 0.699 0.500 Cd
0.399 0.152 0.774 Cd
0.601 0.848 0.226 Cd
0.699 0.301 0.500 Cd
0.848 0.601 0.226 Cd
0.998 0.998 0.247 Cd

12.
NiPbSe | Alexandria | PBE-GGA | relaxed; total magnetic moment = 0.00 μB/f.u.; uncorrected formation energy = 0.541 eV per atom; ΔE to the lowest computed polymorph = 73.0 kJ/mol of atoms
1.0
0.000 3.336 3.336
3.336 0.000 3.336
3.336 3.336 0.000
Ni Pb Se
1 1 1
Direct
0.000 0.000 0.000 Ni
0.250 0.250 0.250 Pb
0.500 0.500 0.500 Se

13.
TmPaRuRh | Alexandria | PBE-GGA | relaxed; E_form = -0.590 eV/atom; total magnetic moment = 0.00 μB/f.u.
1.0
0.000 3.414 3.414
3.414 0.000 3.414
3.414 3.414 0.000
Tm Pa Ru Rh
1 1 1 1
Direct
0.000 0.000 0.000 Tm
0.500 0.500 0.500 Pa
0.750 0.750 0.750 Ru
0.250 0.250 0.250 Rh

14.
Li2NiHPd | Alexandria | PBE-GGA | relaxed; total magnetic moment = 0.00 μB/f.u.; ΔE to the lowest computed polymorph = 0.0 kJ/mol of atoms
1.0
3.929 0.000 0.000
0.000 3.929 0.000
0.000 0.000 3.376
Li Ni H Pd
2 1 1 1
Direct
0.000 0.500 0.000 Li
0.500 0.000 0.000 Li
0.000 0.000 0.500 Ni
0.000 0.000 0.000 H
0.500 0.500 0.500 Pd

15.
LiGaSi | Alexandria | PBE-GGA | relaxed; total magnetic moment = 0.00 μB/f.u.; uncorrected formation energy = -0.069 eV per atom
1.0
4.055 0.000 0.000
0.000 4.055 0.000
0.000 0.000 6.644
Li Ga Si
2 2 2
Direct
0.250 0.250 0.140 Li
0.750 0.750 0.860 Li
0.250 0.750 0.500 Ga
0.750 0.250 0.500 Ga
0.250 0.250 0.741 Si
0.750 0.750 0.259 Si

16.
Th2Ga4Ir3Au | Alexandria | PBE-GGA | relaxed; E_form = -0.679 eV/atom; total magnetic moment = 0.00 μB/f.u.
1.0
4.200 0.000 0.000
0.000 4.200 0.000
0.000 0.000 10.927
Th Ga Ir Au
2 4 3 1
Direct
0.000 0.500 0.235 Th
0.500 0.000 0.765 Th
0.000 0.000 0.000 Ga
0.000 0.500 0.636 Ga
0.500 0.000 0.364 Ga
0.500 0.500 0.000 Ga
0.000 0.500 0.861 Ir
0.500 0.000 0.139 Ir
0.500 0.500 0.500 Ir
0.000 0.000 0.500 Au

17.
Si4Os5 | Alexandria | PBE-GGA | relaxed; total magnetic moment = 0.00 μB/f.u.; uncorrected formation energy = 0.346 eV per atom
1.0
-4.828 4.828 1.414
4.828 -4.828 1.414
4.828 4.828 -1.414
Si Os
4 5
Direct
0.000 0.311 0.311 Si
0.000 0.689 0.689 Si
0.311 0.000 0.311 Si
0.689 0.000 0.689 Si
0.000 0.000 0.000 Os
0.336 0.336 0.673 Os
0.336 0.664 0.000 Os
0.664 0.336 0.000 Os
0.664 0.664 0.327 Os

18.
Mg2MnP | Alexandria | PBE-GGA | relaxed; E_form = 0.195 eV/atom; total magnetic moment = 3.41 μB/f.u.
1.0
0.000 3.237 3.237
3.237 0.000 3.237
3.237 3.237 0.000
Mg Mn P
2 1 1
Direct
0.000 0.000 0.000 Mg
0.250 0.250 0.250 Mg
0.500 0.500 0.500 Mn
0.750 0.750 0.750 P

19.
Tl2CdSb | Alexandria | PBE-GGA | relaxed; total magnetic moment = 0.00 μB/f.u.; uncorrected formation energy = 0.103 eV per atom; ΔE to the lowest computed polymorph = 9.4 kJ/mol of atoms
1.0
2.272 1.311 7.132
-2.272 1.311 7.132
0.000 -2.623 7.132
Tl Cd Sb
2 1 1
Direct
0.000 0.000 0.000 Tl
0.165 0.165 0.165 Tl
0.582 0.582 0.582 Cd
0.747 0.747 0.747 Sb

20.
Y2HgO | Alexandria | PBE-GGA | relaxed; total magnetic moment = 0.00 μB/f.u.; uncorrected formation energy = -1.565 eV per atom; ΔE to the lowest computed polymorph = 7.4 kJ/mol of atoms
1.0
1.791 1.034 7.454
-1.791 1.034 7.454
0.000 -2.068 7.454
Y Hg O
2 1 1
Direct
0.226 0.226 0.226 Y
0.774 0.774 0.774 Y
0.000 0.000 0.000 Hg
0.500 0.500 0.500 O